--- 1 ---
# Ca3Zn2Ni | Alexandria | PBE-GGA | relaxed
data_Ca3Zn2Ni
_chemical_formula_sum 'Ca9 Zn6 Ni3'
_cell_length_a 9.8888
_cell_length_b 9.8888
_cell_length_c 5.7864
_cell_angle_alpha 90.00
_cell_angle_beta 90.00
_cell_angle_gamma 120.00
_space_group_name_H-M_alt 'P 6/m m m'
_space_group_IT_number 191
_space_group_name_Hall '-P 6 2'
loop_
_atom_site_label
_atom_site_type_symbol
_atom_site_fract_x
_atom_site_fract_y
_atom_site_fract_z
Ca1 Ca 0.0000 0.3248 0.0000
Ca2 Ca 0.0000 0.5000 0.5000
Zn1 Zn 0.1460 0.2920 0.5000
Ni1 Ni 0.0000 0.0000 0.5000
Ni2 Ni 0.3333 0.6667 0.0000
# spin magnetization	0.000	μB per cell



--- 2 ---
# Ca3Zn2Ni | Alexandria | PBE-GGA | relaxed
data_Ca3Zn2Ni
_chemical_formula_sum 'Ca12 Zn8 Ni4'
_cell_length_a 11.976
_cell_length_b 4.153
_cell_length_c 12.278
_cell_angle_alpha 90.00
_cell_angle_beta 90.00
_cell_angle_gamma 90.00
_space_group_name_H-M_alt 'P n m a'
_space_group_IT_number 62
_space_group_name_Hall '-P 2ac 2n'
loop_
_atom_site_label
_atom_site_type_symbol
_atom_site_fract_x
_atom_site_fract_y
_atom_site_fract_z
Ca1 Ca 0.054 0.250 0.127
Ca2 Ca 0.116 0.750 0.551
Ca3 Ca 0.219 0.250 0.791
Zn1 Zn 0.027 0.750 0.315
Zn2 Zn 0.202 0.750 0.984
Ni1 Ni 0.124 0.250 0.369
# spin magnetization	0.000	μB per cell



Order of stability, best first: 2, 1



--- 1 ---
# CaZn2Ni2 | Alexandria | PBE-GGA | relaxed
data_CaZn2Ni2
_chemical_formula_sum 'Ca4 Zn8 Ni8'
_cell_length_a 4.052
_cell_length_b 4.052
_cell_length_c 20.477
_cell_angle_alpha 90.00
_cell_angle_beta 90.00
_cell_angle_gamma 90.00
_space_group_name_H-M_alt 'I 4/m m m'
_space_group_IT_number 139
_space_group_name_Hall '-I 4 2'
loop_
_atom_site_label
_atom_site_type_symbol
_atom_site_fract_x
_atom_site_fract_y
_atom_site_fract_z
Ca1 Ca 0.000 0.000 0.130
Zn1 Zn 0.000 0.000 0.316
Zn2 Zn 0.000 0.500 0.000
Ni1 Ni 0.000 0.000 0.435
Ni2 Ni 0.000 0.500 0.250
# spin magnetization	0.000	μB per cell



--- 2 ---
# CaZn2Ni2 | Alexandria | PBE-GGA | relaxed
data_CaZn2Ni2
_chemical_formula_sum 'Ca2 Zn4 Ni4'
_cell_length_a 7.341
_cell_length_b 7.341
_cell_length_c 2.796
_cell_angle_alpha 90.00
_cell_angle_beta 90.00
_cell_angle_gamma 90.00
_space_group_name_H-M_alt 'P 4/m b m'
_space_group_IT_number 127
_space_group_name_Hall '-P 4 2ab'
loop_
_atom_site_label
_atom_site_type_symbol
_atom_site_fract_x
_atom_site_fract_y
_atom_site_fract_z
Ca1 Ca 0.000 0.000 0.000
Zn1 Zn 0.138 0.362 0.500
Ni1 Ni 0.155 0.655 0.000
# spin magnetization	0.000	μB per cell



Order of stability, best first: 1, 2



--- 1 ---
# Ca2Zn2Ni | Alexandria | PBE-GGA | relaxed
data_Ca2Zn2Ni
_chemical_formula_sum 'Ca4 Zn4 Ni2'
_cell_length_a 6.785
_cell_length_b 6.785
_cell_length_c 4.718
_cell_angle_alpha 90.00
_cell_angle_beta 90.00
_cell_angle_gamma 90.00
_space_group_name_H-M_alt 'P 4/m b m'
_space_group_IT_number 127
_space_group_name_Hall '-P 4 2ab'
loop_
_atom_site_label
_atom_site_type_symbol
_atom_site_fract_x
_atom_site_fract_y
_atom_site_fract_z
Ca1 Ca 0.182 0.318 0.000
Zn1 Zn 0.134 0.634 0.500
Ni1 Ni 0.000 0.000 0.500
# spin magnetization	0.000	μB per cell



--- 2 ---
# Ca2Zn2Ni | Alexandria | PBE-GGA | relaxed
data_Ca2Zn2Ni
_chemical_formula_sum 'Ca4 Zn4 Ni2'
_cell_length_a 3.575
_cell_length_b 3.575
_cell_length_c 17.834
_cell_angle_alpha 90.00
_cell_angle_beta 90.00
_cell_angle_gamma 90.00
_space_group_name_H-M_alt 'I 4/m m m'
_space_group_IT_number 139
_space_group_name_Hall '-I 4 2'
loop_
_atom_site_label
_atom_site_type_symbol
_atom_site_fract_x
_atom_site_fract_y
_atom_site_fract_z
Ca1 Ca 0.000 0.000 0.093
Zn1 Zn 0.000 0.500 0.250
Ni1 Ni 0.000 0.000 0.500
# spin magnetization	0.000	μB per cell



--- 3 ---
# Ca2Zn2Ni | Alexandria | PBE-GGA | relaxed
data_Ca2Zn2Ni
_chemical_formula_sum 'Ca8 Zn8 Ni4'
_cell_length_a 10.860
_cell_length_b 4.064
_cell_length_c 10.937
_cell_angle_alpha 90.00
_cell_angle_beta 113.49
_cell_angle_gamma 90.00
_space_group_name_H-M_alt 'C 1 2/m 1'
_space_group_IT_number 12
_space_group_name_Hall '-C 2y'
loop_
_atom_site_label
_atom_site_type_symbol
_atom_site_fract_x
_atom_site_fract_y
_atom_site_fract_z
Ca1 Ca 0.006 0.000 0.164
Ca2 Ca 0.197 0.000 0.623
Zn1 Zn 0.011 0.500 0.384
Zn2 Zn 0.188 0.500 0.054
Ni1 Ni 0.197 0.500 0.825
# spin magnetization	0.000	μB per cell



Order of stability, best first: 3, 1, 2